[1]
A geometry-optimized Cs2RbNaAg structure. Source: Alexandria via LeMat-Bulk, functional PBE-GGA.

```
Cs2RbNaAg
1.0
7.431 0.000 0.000
0.000 7.431 0.000
0.000 0.000 6.202
Ag Rb Cs Na
1 1 2 1
Direct
0.000 0.000 0.000
0.500 0.500 0.500
0.000 0.500 0.000
0.500 0.000 0.000
0.000 0.000 0.500
```

Output
formation energy from the elements: 0.0589 eV/atom
symmetry: P4/mmm, No. 123
energy above the lowest structure with this stoichiometry: 0.0000 eV per atom
density of states at the Fermi level: 4.31 states/eV/cell


[2]
A geometry-optimized CsNa2AgSb structure. Source: Alexandria via LeMat-Bulk, functional PBE-GGA.

```
CsNa2AgSb
1.0
6.027 0.000 0.000
0.000 6.027 0.000
0.000 0.000 5.590
Na Ag Sb Cs
2 1 1 1
Direct
0.000 0.500 0.000
0.500 0.000 0.000
0.000 0.000 0.500
0.000 0.000 0.000
0.500 0.500 0.500
```

Output
VASP energy: -2.229 eV/atom
symmetry: P4/mmm, No. 123
density of states at the Fermi level: 2.10 states/eV/cell